1.
Crystalline InTeMo2 at its relaxed geometry. Source: Alexandria via LeMat-Bulk, functional PBE.

Values from the calculation:
Crystal system: orthorhombic
Formation energy without anion corrections, eV/atom: 0.695
DOS(E_F), states/eV/f.u.: 4.573
Magnetic moment, μB/f.u.: 0.00
Volume, Å³/cell: 76.8
Energy above the most stable polymorph in this dataset, eV per formula unit: 2.05

```
InTeMo2
1.0
3.481 0.000 0.000
0.000 4.450 0.000
0.000 0.000 4.961
In Te Mo
1 1 2
Cartesian
0.000 0.000 0.000
1.740 0.000 2.481
0.000 2.225 2.481
1.740 2.225 0.000
```



2.
Crystalline In3TeMo at its relaxed geometry. Source: Alexandria via LeMat-Bulk, functional PBE.

Values from the calculation:
Crystal system: cubic
Formation energy without anion corrections, eV/atom: 1.333
DOS(E_F), states/eV/f.u.: 3.503
Magnetic moment, μB/f.u.: 4.63
Volume, Å³/cell: 197.8
Energy above the most stable polymorph in this dataset, eV per formula unit: 3.72

```
In3TeMo
1.0
5.827 0.000 0.000
0.000 5.827 0.000
0.000 0.000 5.827
In Te Mo
3 1 1
Cartesian
0.000 0.000 2.913
0.000 2.913 0.000
2.913 0.000 0.000
0.000 0.000 0.000
2.913 2.913 2.913
```



3.
Crystalline InTeMo at its relaxed geometry. Source: Alexandria via LeMat-Bulk, functional PBE.

Values from the calculation:
Crystal system: orthorhombic
Formation energy without anion corrections, eV/atom: 0.498
DOS(E_F), states/eV/f.u.: 3.526
Magnetic moment, μB/f.u.: 0.00
Volume, Å³/cell: 69.9
Energy above the most stable polymorph in this dataset, eV per formula unit: 1.04

```
InTeMo
1.0
0.000 2.602 7.963
1.686 0.000 7.963
1.686 2.602 0.000
In Te Mo
1 1 1
Cartesian
0.000 0.000 0.000
1.686 2.602 4.533
1.686 2.602 10.360
```



4.
Crystalline InTe2Mo at its relaxed geometry. Source: Alexandria via LeMat-Bulk, functional PBE.

Values from the calculation:
Crystal system: trigonal
Formation energy without anion corrections, eV/atom: 0.093
DOS(E_F), states/eV/f.u.: 3.516
Magnetic moment, μB/f.u.: 0.01
Volume, Å³/cell: 102.3

```
InTe2Mo
1.0
1.678 0.969 10.480
-1.678 0.969 10.480
0.000 -1.938 10.480
In Te Mo
1 2 1
Cartesian
0.000 0.000 0.000
0.000 0.000 7.851
0.000 0.000 14.513
0.000 0.000 23.138
```



5.
Crystalline InTeMo at its relaxed geometry. Source: Alexandria via LeMat-Bulk, functional PBE.

Values from the calculation:
Crystal system: hexagonal
Formation energy without anion corrections, eV/atom: 0.544
DOS(E_F), states/eV/f.u.: 4.139
Magnetic moment, μB/f.u.: 0.00
Volume, Å³/cell: 64.0
Energy above the most stable polymorph in this dataset, eV per formula unit: 1.18

```
InTeMo
1.0
4.903 0.000 0.000
-2.452 4.246 0.000
0.000 0.000 3.076
In Te Mo
1 1 1
Cartesian
0.000 0.000 0.000
2.452 1.415 1.538
0.000 2.831 1.538
```



6.
Crystalline InTeMo2 at its relaxed geometry. Source: Alexandria via LeMat-Bulk, functional PBE.

Values from the calculation:
Crystal system: tetragonal
Formation energy without anion corrections, eV/atom: 0.507
DOS(E_F), states/eV/f.u.: 5.627
Magnetic moment, μB/f.u.: 0.00
Volume, Å³/cell: 73.5
Energy above the most stable polymorph in this dataset, eV per formula unit: 1.30

```
InTeMo2
1.0
4.676 0.000 0.000
0.000 4.676 0.000
0.000 0.000 3.362
In Te Mo
1 1 2
Cartesian
0.000 0.000 0.000
2.338 2.338 0.000
0.000 2.338 1.681
2.338 0.000 1.681
```



7.
Crystalline InTeMo2 at its relaxed geometry. Source: Alexandria via LeMat-Bulk, functional PBE.

Values from the calculation:
Crystal system: tetragonal
Formation energy without anion corrections, eV/atom: 0.652
DOS(E_F), states/eV/f.u.: 5.174
Magnetic moment, μB/f.u.: 0.00
Volume, Å³/cell: 75.9
Energy above the most stable polymorph in this dataset, eV per formula unit: 1.88

```
InTeMo2
1.0
-2.113 2.113 4.246
2.113 -2.113 4.246
2.113 2.113 -4.246
In Te Mo
1 1 2
Cartesian
0.000 0.000 0.000
0.000 2.113 2.123
2.113 0.000 2.123
0.000 0.000 4.246
```



8.
Crystalline InTeMo2 at its relaxed geometry. Source: Alexandria via LeMat-Bulk, functional PBE.

Values from the calculation:
Crystal system: tetragonal
Formation energy without anion corrections, eV/atom: 0.454
DOS(E_F), states/eV/f.u.: 5.304
Magnetic moment, μB/f.u.: 0.00
Volume, Å³/cell: 74.1
Energy above the most stable polymorph in this dataset, eV per formula unit: 1.09

```
InTeMo2
1.0
3.291 0.000 0.000
0.000 3.291 0.000
0.000 0.000 6.836
In Te Mo
1 1 2
Cartesian
0.000 0.000 0.000
0.000 0.000 3.418
1.646 1.646 1.845
1.646 1.646 4.991
```